Material: LaGa2Br8
Method: DFT, PBE
State: relaxed

a = 6.989 Å, b = 8.380 Å, c = 8.380 Å
α = 74.18°, β = 80.34°, γ = 80.34°
Positions (direct):
La 0.000 0.000 0.000
Ga 0.677 0.792 0.792
Ga 0.323 0.208 0.208
Br 0.223 0.292 0.920
Br 0.777 0.080 0.708
Br 0.310 0.809 0.809
Br 0.690 0.191 0.191
Br 0.223 0.920 0.292
Br 0.777 0.708 0.080
Br 0.837 0.619 0.619
Br 0.163 0.381 0.381

Values from the calculation:
**Space-group type**: C2/m (12)
**Crystal system**: monoclinic
**Uncorrected energy**: -36.54 eV/cell